The following is a PBE calculation of a geometry-optimized Ac2Al5Pd4 structure, from Alexandria.

Cell and atoms, written as CIF:
```
data_Ac2Al5Pd4
_cell_length_a 9.4721
_cell_length_b 8.5352
_cell_length_c 5.7314
_cell_angle_alpha 80.60
_cell_angle_beta 62.75
_cell_angle_gamma 36.65
_space_group_name_H-M_alt 'P 1'
_space_group_IT_number 1
loop_
_space_group_symop_operation_xyz
'x,y,z'
loop_
_atom_site_label
_atom_site_type_symbol
_atom_site_fract_x
_atom_site_fract_y
_atom_site_fract_z
Ac1 Ac 0.1332 0.1332 0.8668
Ac2 Ac 0.8668 0.8668 0.1332
Al1 Al 0.0000 0.0000 0.5000
Al2 Al 0.2500 0.2500 0.2500
Al3 Al 0.5000 0.5000 0.0000
Al4 Al 0.5000 0.5000 0.5000
Al5 Al 0.7500 0.7500 0.7500
Pd1 Pd 0.2099 0.5289 0.4711
Pd2 Pd 0.4711 0.7901 0.2099
Pd3 Pd 0.5289 0.2099 0.7901
Pd4 Pd 0.7901 0.4711 0.5289
```

Volume = 227.0 Å³ per cell
Electronic total energy = -56.3 eV for the cell shown
DFT formation energy = -8.64 eV/f.u.